A plane-wave DFT calculation with meta-GGA SCAN was carried out for a crystal of Mn3Cr3O8 relaxed with PBEsol.

abc: 5.9421 5.9421 14.5859
angles: 90.00 90.00 120.00
Space group R-3m (No. 166, hexagonal axes)
Asymmetric unit:
Mn  0.0000  0.0000  0.0000 (multiplicity 3)
Mn  0.0000  0.0000  0.3752 (multiplicity 6)
Cr  0.0000  0.5000  0.5000 (multiplicity 9)
O  0.0000  0.0000  0.2369 (multiplicity 6)
O  0.0320  0.5160  0.7558 (multiplicity 18)

Energy relative to the elements, uncorrected, meV per atom: -2365
Size of the total moment, μB/cell: 69.00

A plane-wave DFT calculation with meta-GGA SCAN was carried out for a crystal of LaPrMg2 relaxed with PBEsol.

abc: 7.7668 7.7668 7.7668
angles: 90.00 90.00 90.00
Space group Fm-3m (No. 225)
Asymmetric unit:
La  0.0000  0.0000  0.0000 (multiplicity 4)
Pr  0.0000  0.0000  0.5000 (multiplicity 4)
Mg  0.2500  0.2500  0.2500 (multiplicity 8)

Size of the total moment, μB/cell: 0.00
Formation enthalpy at 0 K, eV per formula unit: -0.533

A plane-wave DFT calculation with meta-GGA SCAN was carried out for a crystal of Mg2Te3O8 relaxed with PBEsol.

abc: 12.5710 5.2394 11.5289
angles: 90.00 98.35 90.00
Space group C2/c (No. 15)
Asymmetric unit:
Mg  0.2327  0.1910  0.3526 (multiplicity 8)
Te  0.0000  0.1644  0.7500 (multiplicity 4)
Te  0.1348  0.1904  0.0541 (multiplicity 8)
O  0.0805  0.0614  0.3564 (multiplicity 8)
O  0.1142  0.1359  0.6351 (multiplicity 8)
O  0.1976  0.3566  0.1932 (multiplicity 8)
O  0.2350  0.4902  0.9731 (multiplicity 8)

Energy relative to the elements, uncorrected, meV per atom: -1780
Size of the total moment, μB/cell: 0.00

- Among the records above, which one has the highest size of the total moment?
  Mn3Cr3O8

- Which formula does entry 3 have?
  Mg2Te3O8